(1)
# CrIn2Br, optimized geometry, DFT PBE
# E = -16.05 eV/cell
data_CrIn2Br
_cell_length_a 3.438
_cell_length_b 3.438
_cell_length_c 7.959
_cell_angle_alpha 90.00
_cell_angle_beta 90.00
_cell_angle_gamma 90.00
_space_group_name_H-M_alt 'P 4/m m m'
_space_group_IT_number 123
_space_group_name_Hall '-P 4 2'
loop_
_atom_site_label
_atom_site_type_symbol
_atom_site_fract_x
_atom_site_fract_y
_atom_site_fract_z
Cr1 Cr 0.000 0.000 0.000
In1 In 0.500 0.500 0.211
Br1 Br 0.000 0.000 0.500


(2)
# CrIn2Br, optimized geometry, DFT PBE
# E = -31.16 eV/cell
data_CrIn2Br
_cell_length_a 4.430
_cell_length_b 4.430
_cell_length_c 10.879
_cell_angle_alpha 90.00
_cell_angle_beta 90.00
_cell_angle_gamma 90.00
_space_group_name_H-M_alt 'I -4 m 2'
_space_group_IT_number 119
_space_group_name_Hall 'I -4 -2'
loop_
_atom_site_label
_atom_site_type_symbol
_atom_site_fract_x
_atom_site_fract_y
_atom_site_fract_z
Cr1 Cr 0.000 0.000 0.000
In1 In 0.000 0.000 0.500
In2 In 0.000 0.500 0.750
Br1 Br 0.000 0.500 0.250


(3)
# CrInBr3, optimized geometry, DFT PBE
# E = -17.37 eV/cell
data_CrInBr3
_cell_length_a 5.570
_cell_length_b 5.570
_cell_length_c 5.570
_cell_angle_alpha 90.00
_cell_angle_beta 90.00
_cell_angle_gamma 90.00
_space_group_name_H-M_alt 'P m -3 m'
_space_group_IT_number 221
_space_group_name_Hall '-P 4 2 3'
loop_
_atom_site_label
_atom_site_type_symbol
_atom_site_fract_x
_atom_site_fract_y
_atom_site_fract_z
Cr1 Cr 0.000 0.000 0.000
In1 In 0.500 0.500 0.500
Br1 Br 0.000 0.500 0.500


(4)
# CrIn2Br, optimized geometry, DFT PBE
# E = -61.23 eV/cell
data_CrIn2Br
_cell_length_a 7.396
_cell_length_b 7.396
_cell_length_c 7.396
_cell_angle_alpha 90.00
_cell_angle_beta 90.00
_cell_angle_gamma 90.00
_space_group_name_H-M_alt 'F -4 3 m'
_space_group_IT_number 216
_space_group_name_Hall 'F -4 2 3'
loop_
_atom_site_label
_atom_site_type_symbol
_atom_site_fract_x
_atom_site_fract_y
_atom_site_fract_z
Cr1 Cr 0.000 0.000 0.000
In1 In 0.000 0.000 0.500
In2 In 0.250 0.250 0.250
Br1 Br 0.250 0.250 0.750


(5)
# CrIn2Br, optimized geometry, DFT PBE
# E = -32.28 eV/cell
data_CrIn2Br
_cell_length_a 3.174
_cell_length_b 4.543
_cell_length_c 14.165
_cell_angle_alpha 90.00
_cell_angle_beta 90.00
_cell_angle_gamma 90.00
_space_group_name_H-M_alt 'I m m m'
_space_group_IT_number 71
_space_group_name_Hall '-I 2 2'
loop_
_atom_site_label
_atom_site_type_symbol
_atom_site_fract_x
_atom_site_fract_y
_atom_site_fract_z
Cr1 Cr 0.000 0.000 0.000
In1 In 0.000 0.500 0.314
Br1 Br 0.000 0.000 0.500


(6)
# CrInBr, optimized geometry, DFT PBE
# E = -13.16 eV/cell
data_CrInBr
_cell_length_a 4.6767
_cell_length_b 4.6767
_cell_length_c 3.8517
_cell_angle_alpha 90.00
_cell_angle_beta 90.00
_cell_angle_gamma 120.00
_space_group_name_H-M_alt 'P -6 m 2'
_space_group_IT_number 187
_space_group_name_Hall 'P -6 2'
loop_
_atom_site_label
_atom_site_type_symbol
_atom_site_fract_x
_atom_site_fract_y
_atom_site_fract_z
Cr1 Cr 0.0000 0.0000 0.0000
In1 In 0.6667 0.3333 0.5000
Br1 Br 0.3333 0.6667 0.0000


(7)
# CrIn2Br, optimized geometry, DFT PBE
# E = -32.52 eV/cell
data_CrIn2Br
_cell_length_a 3.287
_cell_length_b 5.687
_cell_length_c 10.598
_cell_angle_alpha 90.00
_cell_angle_beta 90.00
_cell_angle_gamma 90.00
_space_group_name_H-M_alt 'I m m 2'
_space_group_IT_number 44
loop_
_space_group_symop_operation_xyz
'x,y,z'
'-x,-y,z'
'-x,y,z'
'x,-y,z'
'x+1/2,y+1/2,z+1/2'
'-x+1/2,-y+1/2,z+1/2'
'-x+1/2,y+1/2,z+1/2'
'x+1/2,-y+1/2,z+1/2'
loop_
_atom_site_label
_atom_site_type_symbol
_atom_site_fract_x
_atom_site_fract_y
_atom_site_fract_z
Cr1 Cr 0.000 0.000 0.000
In1 In 0.000 0.000 0.503
In2 In 0.000 0.500 0.725
Br1 Br 0.000 0.500 0.307


(8)
# CrInBr6, optimized geometry, DFT PBE
# E = -56.93 eV/cell
data_CrInBr6
_cell_length_a 7.230
_cell_length_b 12.453
_cell_length_c 6.607
_cell_angle_alpha 90.00
_cell_angle_beta 92.47
_cell_angle_gamma 90.00
_space_group_name_H-M_alt 'C 1 2/m 1'
_space_group_IT_number 12
loop_
_space_group_symop_operation_xyz
'x,y,z'
'-x,-y,-z'
'-x,y,-z'
'x,-y,z'
'x+1/2,y+1/2,z'
'-x+1/2,-y+1/2,-z'
'-x+1/2,y+1/2,-z'
'x+1/2,-y+1/2,z'
loop_
_atom_site_label
_atom_site_type_symbol
_atom_site_fract_x
_atom_site_fract_y
_atom_site_fract_z
Cr1 Cr 0.000 0.000 0.000
In1 In 0.000 0.000 0.500
Br1 Br 0.141 0.142 0.777
Br2 Br 0.217 0.500 0.757


(9)
# CrIn4Br, optimized geometry, DFT PBE
# E = -81.17 eV/cell
data_CrIn4Br
_cell_length_a 8.731
_cell_length_b 8.731
_cell_length_c 8.731
_cell_angle_alpha 90.00
_cell_angle_beta 90.00
_cell_angle_gamma 90.00
_space_group_name_H-M_alt 'F -4 3 m'
_space_group_IT_number 216
_space_group_name_Hall 'F -4 2 3'
loop_
_atom_site_label
_atom_site_type_symbol
_atom_site_fract_x
_atom_site_fract_y
_atom_site_fract_z
Cr1 Cr 0.000 0.000 0.000
In1 In 0.125 0.125 0.625
Br1 Br 0.250 0.250 0.250


(10)
# CrInBr3, optimized geometry, DFT PBE
# E = -82.21 eV/cell
data_CrInBr3
_cell_length_a 4.271
_cell_length_b 15.104
_cell_length_c 9.709
_cell_angle_alpha 90.00
_cell_angle_beta 95.90
_cell_angle_gamma 90.00
_space_group_name_H-M_alt 'P 1 21/c 1'
_space_group_IT_number 14
loop_
_space_group_symop_operation_xyz
'x,y,z'
'-x,-y,-z'
'-x,y+1/2,-z+1/2'
'x,-y+1/2,z+1/2'
loop_
_atom_site_label
_atom_site_type_symbol
_atom_site_fract_x
_atom_site_fract_y
_atom_site_fract_z
Cr1 Cr 0.224 0.046 0.160
In1 In 0.228 0.664 0.985
Br1 Br 0.202 0.599 0.526
Br2 Br 0.241 0.197 0.272
Br3 Br 0.316 0.011 0.677


(11)
# CrIn2Br, optimized geometry, DFT PBE
# E = -15.86 eV/cell
data_CrIn2Br
_cell_length_a 3.519
_cell_length_b 5.782
_cell_length_c 5.209
_cell_angle_alpha 90.00
_cell_angle_beta 93.38
_cell_angle_gamma 90.00
_space_group_name_H-M_alt 'P 1 2/m 1'
_space_group_IT_number 10
loop_
_space_group_symop_operation_xyz
'x,y,z'
'-x,-y,-z'
'-x,y,-z'
'x,-y,z'
loop_
_atom_site_label
_atom_site_type_symbol
_atom_site_fract_x
_atom_site_fract_y
_atom_site_fract_z
Cr1 Cr 0.000 0.000 0.000
In1 In 0.276 0.500 0.242
Br1 Br 0.000 0.000 0.500


(12)
# CrInBr2, optimized geometry, DFT PBE
# E = -33.14 eV/cell
data_CrInBr2
_cell_length_a 3.530
_cell_length_b 3.645
_cell_length_c 17.714
_cell_angle_alpha 90.00
_cell_angle_beta 90.00
_cell_angle_gamma 90.00
_space_group_name_H-M_alt 'I m m 2'
_space_group_IT_number 44
loop_
_space_group_symop_operation_xyz
'x,y,z'
'-x,-y,z'
'-x,y,z'
'x,-y,z'
'x+1/2,y+1/2,z+1/2'
'-x+1/2,-y+1/2,z+1/2'
'-x+1/2,y+1/2,z+1/2'
'x+1/2,-y+1/2,z+1/2'
loop_
_atom_site_label
_atom_site_type_symbol
_atom_site_fract_x
_atom_site_fract_y
_atom_site_fract_z
Cr1 Cr 0.000 0.000 0.000
In1 In 0.000 0.500 0.747
Br1 Br 0.000 0.000 0.575
Br2 Br 0.000 0.500 0.393


What is the E in the fourth record? -61.23 eV/cell